(1)
Below is crystalline CaIn4Cu at its relaxed geometry, with properties calculated at the PBE level.

Cell lengths 6.1118, 7.9273, 7.6549 Å; angles 111.37, 112.13, 91.01 degrees
Atoms (fractional coordinates):
Ca: 0.0003 0.7500 0.0007
Ca: 0.9997 0.2500 0.9993
In: 0.4116 0.0598 0.8247
In: 0.5987 0.4433 0.1774
In: 0.5884 0.9402 0.1753
In: 0.4013 0.5567 0.8226
In: 0.8962 0.8459 0.5771
In: 0.3202 0.6538 0.4189
In: 0.1038 0.1541 0.4229
In: 0.6798 0.3462 0.5811
Cu: 0.5000 0.0000 0.5000
Cu: 0.0000 0.5000 0.5000

Properties
The electronic total energy is -2.930 eV per atom. As for the total magnetic moment: 0.00 μB per cell. The formation energy comes out at -8.5 kJ per mole of atoms.

(2)
Below is crystalline CaIn4Cu2 at its relaxed geometry, with properties calculated at the PBE level.

Cell lengths 4.5142, 7.3611, 18.3745 Å; angles 90.00, 90.00, 90.00 degrees
Atoms (fractional coordinates):
Ca: 0.7500 0.9609 0.6425
Ca: 0.2500 0.0391 0.3575
Ca: 0.2500 0.4609 0.8575
Ca: 0.7500 0.5391 0.1425
Cu: 0.2500 0.7530 0.5423
Cu: 0.7500 0.2470 0.4577
Cu: 0.7500 0.2530 0.9577
Cu: 0.2500 0.7470 0.0423
Cu: 0.2500 0.9556 0.7807
Cu: 0.7500 0.0444 0.2193
Cu: 0.7500 0.4556 0.7193
Cu: 0.2500 0.5444 0.2807
In: 0.2500 0.2547 0.6924
In: 0.7500 0.7453 0.3076
In: 0.7500 0.7547 0.8076
In: 0.2500 0.2453 0.1924
In: 0.2500 0.6614 0.6862
In: 0.7500 0.3386 0.3138
In: 0.7500 0.1614 0.8138
In: 0.2500 0.8386 0.1862
In: 0.2500 0.1431 0.5324
In: 0.7500 0.8569 0.4676
In: 0.7500 0.6431 0.9676
In: 0.2500 0.3569 0.0324
In: 0.2500 0.5007 0.4314
In: 0.7500 0.4993 0.5686
In: 0.7500 0.0007 0.0686
In: 0.2500 0.9993 0.9314

Properties
The electronic total energy is -3.207 eV per atom. As for the total magnetic moment: 0.00 μB per cell. The formation energy comes out at -17.9 kJ per mole of atoms.

(3)
Below is crystalline CaIn2Cu at its relaxed geometry, with properties calculated at the PBE level.

Cell lengths 5.0501, 5.0501, 5.0501 Å; angles 60.00, 60.00, 60.00 degrees
Atoms (fractional coordinates):
Ca: 0.5000 0.5000 0.5000
Cu: 0.7500 0.7500 0.7500
In: 0.0000 0.0000 0.0000
In: 0.2500 0.2500 0.2500

Properties
The electronic total energy is -3.021 eV per atom. As for the total magnetic moment: 0.00 μB per cell. The formation energy comes out at -12.3 kJ per mole of atoms.

(4)
Below is crystalline CaIn2Cu at its relaxed geometry, with properties calculated at the PBE level.

Cell lengths 4.4618, 4.4618, 4.6640 Å; angles 90.00, 90.00, 90.01 degrees
Atoms (fractional coordinates):
Ca: 0.5000 0.0000 0.5000
Cu: 0.0000 0.5000 0.5000
In: 0.0000 0.0000 0.0000
In: 0.5000 0.5000 0.0000

Properties
The electronic total energy is -3.021 eV per atom. As for the total magnetic moment: 0.00 μB per cell. The formation energy comes out at -12.3 kJ per mole of atoms.